Entry 1:
The following is a DFT calculation (GGA+U) of CrSe2F after structural relaxation.

abc: 4.479 4.479 4.479
angles: 60.00 60.00 60.00
Positions (direct):
Cr 0.000 0.000 0.000
Se 0.250 0.250 0.250
Se 0.750 0.750 0.750
F 0.500 0.500 0.500

Calculated values
Magnetization, μB/cell: 3.13
D(E_F), states/eV per cell: 2.409
Energy above the most stable polymorph in this dataset, meV/atom: 222

---

Entry 2:
The following is a DFT calculation (GGA+U) of MoN2ClF after structural relaxation.

abc: 4.011 4.011 3.916
angles: 90.00 90.00 90.00
Positions (direct):
Mo 0.000 0.000 0.000
N 0.000 0.500 0.500
N 0.500 0.000 0.500
Cl 0.500 0.500 0.500
F 0.500 0.500 0.000

Calculated values
Magnetization, μB/cell: 2.67
D(E_F), states/eV per cell: 1.879
Energy above the most stable polymorph in this dataset, meV/atom: 1313